Density functional theory data (GGA-PBEsol) for a relaxed Ca3HfTl crystal.

Properties
The calculation puts the density of states at the Fermi level at 1.04 states/eV/atom. The value obtained for the magnetization is 2.76 Bohr magnetons per cell. The value obtained for the formation energy is 0.715 eV/atom. As for the space group: Pm-3m.

Cell: 5.755 5.755 5.755 Å, 90.00 90.00 90.00°
Positions (direct):
1 Ca 0.000 0.000 0.500
2 Ca 0.000 0.500 0.000
3 Ca 0.500 0.000 0.000
4 Hf 0.500 0.500 0.500
5 Tl 0.000 0.000 0.000


Density functional theory data (GGA-PBEsol) for a relaxed PdPbNO2 crystal.

Properties
The calculation puts the density of states at the Fermi level at 0.61 states/eV/atom. The value obtained for the magnetization is 3.06 Bohr magnetons per cell. The calculation puts the formation energy without anion corrections at 5.0 eV per formula unit. As for the space group: P4/mmm.

Cell: 4.194 4.194 4.281 Å, 90.00 90.00 90.00°
Positions (direct):
1 Pd 0.000 0.000 0.000
2 Pb 0.500 0.500 0.500
3 N 0.500 0.500 0.000
4 O 0.000 0.500 0.500
5 O 0.500 0.000 0.500


Density functional theory data (GGA-PBEsol) for a relaxed Y2InPb crystal.

Properties
The calculation puts the density of states at the Fermi level at 0.84 states/eV/atom. The value obtained for the magnetization is 0.00 Bohr magnetons per cell. The value obtained for the formation energy is -0.533 eV/atom. As for the space group: P4/mmm.

Cell: 4.888 4.888 4.348 Å, 90.00 90.00 90.00°
Positions (direct):
1 Y 0.000 0.500 0.000
2 Y 0.500 0.000 0.000
3 In 0.000 0.000 0.500
4 Pb 0.500 0.500 0.500


Density functional theory data (GGA-PBEsol) for a relaxed BeCr2Re crystal.

Properties
The calculation puts the density of states at the Fermi level at 0.89 states/eV/atom. The value obtained for the magnetization is 0.00 Bohr magnetons per cell. The value obtained for the formation energy is 0.099 eV/atom. As for the space group: I4/mmm.

Cell: 4.778 4.778 4.778 Å, 139.86 139.86 58.07°
Positions (direct):
1 Be 0.000 0.000 0.000
2 Cr 0.250 0.750 0.500
3 Cr 0.750 0.250 0.500
4 Re 0.500 0.500 0.000


Density functional theory data (GGA-PBEsol) for a relaxed B2OsSe crystal.

Properties
The calculation puts the density of states at the Fermi level at 0.07 states/eV/atom. The value obtained for the magnetization is 0.00 Bohr magnetons per cell. The calculation puts the formation energy without anion corrections at 2.2 eV per formula unit. As for the space group: I-42d.

Cell: 5.858 5.858 5.858 Å, 131.09 131.09 71.66°
Positions (direct):
1 B 0.106 0.625 0.981
2 B 0.375 0.356 0.481
3 B 0.644 0.125 0.019
4 B 0.875 0.894 0.519
5 Os 0.000 0.000 0.000
6 Os 0.750 0.250 0.500
7 Se 0.250 0.750 0.500
8 Se 0.500 0.500 0.000


Density functional theory data (GGA-PBEsol) for a relaxed ZnRuCl2 crystal.

Properties
The calculation puts the density of states at the Fermi level at 0.81 states/eV/atom. The value obtained for the magnetization is 0.51 Bohr magnetons per cell. The calculation puts the formation energy without anion corrections at 0.9 eV per formula unit. As for the space group: R-3m.

Cell: 7.854 7.854 7.854 Å, 23.44 23.44 23.44°
Positions (direct):
1 Zn 0.000 0.000 0.000
2 Ru 0.500 0.500 0.500
3 Cl 0.401 0.401 0.401
4 Cl 0.599 0.599 0.599


Density functional theory data (GGA-PBEsol) for a relaxed MnAl2H2 crystal.

Properties
The calculation puts the density of states at the Fermi level at 0.26 states/eV/atom. The value obtained for the magnetization is 2.04 Bohr magnetons per cell. For the raw total energy, the calculation gives -0.17796 hartree per atom. As for the space group: I4/mmm.

Cell: 6.582 6.582 6.582 Å, 156.12 156.12 34.02°
Positions (direct):
1 Mn 0.000 0.000 0.000
2 Al 0.365 0.365 0.000
3 Al 0.635 0.635 0.000
4 H 0.250 0.750 0.500
5 H 0.750 0.250 0.500


Density functional theory data (GGA-PBEsol) for a relaxed HfCo2RuI crystal.

Properties
The calculation puts the density of states at the Fermi level at 1.73 states/eV/atom. The value obtained for the magnetization is 3.50 Bohr magnetons per cell. The calculation puts the formation energy without anion corrections at 5.3 eV per formula unit. As for the space group: P4/mmm.

Cell: 4.553 4.553 4.837 Å, 90.00 90.00 90.00°
Positions (direct):
1 Hf 0.000 0.000 0.000
2 Co 0.000 0.500 0.500
3 Co 0.500 0.000 0.500
4 Ru 0.000 0.000 0.500
5 I 0.500 0.500 0.000


Density functional theory data (GGA-PBEsol) for a relaxed SrNi9P5 crystal.

Properties
The calculation puts the density of states at the Fermi level at 0.58 states/eV/atom. The value obtained for the magnetization is 0.00 Bohr magnetons per cell. The value obtained for the formation energy is -0.726 eV/atom. As for the space group: P6_3/mmc.

Cell: 6.420 6.420 10.675 Å, 90.00 90.00 120.00°
Positions (direct):
1 Sr 0.000 0.000 0.000
2 Sr 0.000 0.000 0.500
3 Ni 0.072 0.536 0.107
4 Ni 0.072 0.536 0.393
5 Ni 0.203 0.407 0.750
6 Ni 0.203 0.797 0.750
7 Ni 0.407 0.203 0.250
8 Ni 0.464 0.536 0.107
9 Ni 0.464 0.536 0.393
10 Ni 0.464 0.928 0.107
11 Ni 0.464 0.928 0.393
12 Ni 0.536 0.072 0.607
13 Ni 0.536 0.072 0.893
14 Ni 0.536 0.464 0.607
15 Ni 0.536 0.464 0.893
16 Ni 0.593 0.797 0.750
17 Ni 0.797 0.203 0.250
18 Ni 0.797 0.593 0.250
19 Ni 0.928 0.464 0.607
20 Ni 0.928 0.464 0.893
21 P 0.174 0.348 0.250
22 P 0.174 0.826 0.250
23 P 0.333 0.667 0.562
24 P 0.333 0.667 0.938
25 P 0.348 0.174 0.750
26 P 0.652 0.826 0.250
27 P 0.667 0.333 0.062
28 P 0.667 0.333 0.438
29 P 0.826 0.174 0.750
30 P 0.826 0.652 0.750


Density functional theory data (GGA-PBEsol) for a relaxed KNa3Cu crystal.

Properties
The calculation puts the density of states at the Fermi level at 0.45 states/eV/atom. The value obtained for the magnetization is 0.00 Bohr magnetons per cell. The value obtained for the formation energy is 0.244 eV/atom. As for the space group: Pm-3m.

Cell: 5.649 5.649 5.649 Å, 90.00 90.00 90.00°
Positions (direct):
1 K 0.000 0.000 0.000
2 Na 0.000 0.500 0.500
3 Na 0.500 0.000 0.500
4 Na 0.500 0.500 0.000
5 Cu 0.500 0.500 0.500


Density functional theory data (GGA-PBEsol) for a relaxed La2Cd2In crystal.

Properties
The calculation puts the density of states at the Fermi level at 0.99 states/eV/atom. The value obtained for the magnetization is 0.00 Bohr magnetons per cell. The value obtained for the formation energy is -0.368 eV/atom. As for the space group: P4/mbm.

Cell: 7.510 7.510 4.902 Å, 90.00 90.00 90.00°
Positions (direct):
1 La 0.171 0.329 0.000
2 La 0.329 0.829 0.000
3 La 0.671 0.171 0.000
4 La 0.829 0.671 0.000
5 Cd 0.132 0.632 0.500
6 Cd 0.368 0.132 0.500
7 Cd 0.632 0.868 0.500
8 Cd 0.868 0.368 0.500
9 In 0.000 0.000 0.500
10 In 0.500 0.500 0.500


Density functional theory data (GGA-PBEsol) for a relaxed BaCa2Bi2 crystal.

Properties
The calculation puts the density of states at the Fermi level at 0.12 states/eV/atom. The value obtained for the magnetization is 0.00 Bohr magnetons per cell. The value obtained for the formation energy is -0.817 eV/atom. As for the space group: I4/mmm.

Cell: 8.171 8.171 8.171 Å, 144.07 144.07 51.73°
Positions (direct):
1 Ba 0.000 0.000 0.000
2 Ca 0.250 0.750 0.500
3 Ca 0.750 0.250 0.500
4 Bi 0.381 0.381 0.000
5 Bi 0.619 0.619 0.000


Density functional theory data (GGA-PBEsol) for a relaxed Ir4OsBr crystal.

Properties
The calculation puts the density of states at the Fermi level at 1.79 states/eV/atom. The value obtained for the magnetization is 0.00 Bohr magnetons per cell. The calculation puts the formation energy without anion corrections at 7.9 eV per formula unit. As for the space group: F-43m.

Cell: 5.139 5.139 5.139 Å, 60.00 60.00 60.00°
Positions (direct):
1 Ir 0.125 0.125 0.125
2 Ir 0.125 0.125 0.626
3 Ir 0.125 0.626 0.125
4 Ir 0.626 0.125 0.125
5 Os 0.750 0.750 0.750
6 Br 0.500 0.500 0.500


Density functional theory data (GGA-PBEsol) for a relaxed Nb6SnS8 crystal.

Properties
The calculation puts the density of states at the Fermi level at 0.19 states/eV/atom. The value obtained for the magnetization is 0.00 Bohr magnetons per cell. The calculation puts the formation energy without anion corrections at -16.2 eV per formula unit. As for the space group: P-3.

Cell: 9.499 9.499 3.365 Å, 90.00 90.00 120.00°
Positions (direct):
1 Nb 0.114 0.627 0.251
2 Nb 0.373 0.487 0.251
3 Nb 0.487 0.114 0.749
4 Nb 0.513 0.886 0.251
5 Nb 0.627 0.513 0.749
6 Nb 0.886 0.373 0.749
7 Sn 0.000 0.000 0.500
8 S 0.055 0.339 0.248
9 S 0.283 0.945 0.248
10 S 0.333 0.667 0.751
11 S 0.339 0.283 0.752
12 S 0.661 0.717 0.248
13 S 0.667 0.333 0.249
14 S 0.717 0.055 0.752
15 S 0.945 0.661 0.752


Density functional theory data (GGA-PBEsol) for a relaxed SrScCl2 crystal.

Properties
The calculation puts the density of states at the Fermi level at 0.84 states/eV/atom. The value obtained for the magnetization is 0.33 Bohr magnetons per cell. The calculation puts the formation energy without anion corrections at -4.2 eV per formula unit. As for the space group: P4/mmm.

Cell: 4.867 4.867 3.425 Å, 90.00 90.00 90.00°
Positions (direct):
1 Sr 0.000 0.000 0.000
2 Sc 0.500 0.500 0.000
3 Cl 0.000 0.500 0.500
4 Cl 0.500 0.000 0.500


Density functional theory data (GGA-PBEsol) for a relaxed BeSbH3 crystal.

Properties
The calculation puts the density of states at the Fermi level at 0.36 states/eV/atom. The value obtained for the magnetization is 0.00 Bohr magnetons per cell. For the raw total energy, the calculation gives -0.09911 hartree per atom. As for the space group: Pm-3m.

Cell: 3.979 3.979 3.979 Å, 90.00 90.00 90.00°
Positions (direct):
1 Be 0.000 0.000 0.000
2 Sb 0.500 0.500 0.500
3 H 0.000 0.500 0.500
4 H 0.500 0.000 0.500
5 H 0.500 0.500 0.000


Density functional theory data (GGA-PBEsol) for a relaxed BaNb4O6 crystal.

Properties
The calculation puts the density of states at the Fermi level at 0.26 states/eV/atom. The value obtained for the magnetization is 0.00 Bohr magnetons per cell. The calculation puts the formation energy without anion corrections at -26.5 eV per formula unit. As for the space group: P4/mmm.

Cell: 4.198 4.198 8.212 Å, 90.00 90.00 90.00°
Positions (direct):
1 Ba 0.000 0.000 0.000
2 Nb 0.000 0.500 0.500
3 Nb 0.500 0.000 0.500
4 Nb 0.500 0.500 0.253
5 Nb 0.500 0.500 0.747
6 O 0.000 0.000 0.500
7 O 0.000 0.500 0.242
8 O 0.000 0.500 0.758
9 O 0.500 0.000 0.242
10 O 0.500 0.000 0.758
11 O 0.500 0.500 0.000


Density functional theory data (GGA-PBEsol) for a relaxed Sc2AgIr crystal.

Properties
The calculation puts the density of states at the Fermi level at 0.67 states/eV/atom. The value obtained for the magnetization is 0.00 Bohr magnetons per cell. The value obtained for the formation energy is -0.668 eV/atom. As for the space group: Pmmm.

Cell: 3.157 3.168 7.113 Å, 90.00 90.00 90.00°
Positions (direct):
1 Sc 0.000 0.000 0.230
2 Sc 0.000 0.000 0.770
3 Ag 0.500 0.500 0.500
4 Ir 0.500 0.500 0.000


Density functional theory data (GGA-PBEsol) for a relaxed MgRh3 crystal.

Properties
The calculation puts the density of states at the Fermi level at 1.05 states/eV/atom. The value obtained for the magnetization is 0.00 Bohr magnetons per cell. The value obtained for the formation energy is -0.181 eV/atom. As for the space group: Pnma.

Cell: 4.771 8.779 5.379 Å, 90.00 90.00 90.00°
Positions (direct):
1 Mg 0.074 0.250 0.120
2 Mg 0.426 0.750 0.620
3 Mg 0.574 0.250 0.380
4 Mg 0.926 0.750 0.880
5 Rh 0.085 0.250 0.630
6 Rh 0.235 0.506 0.375
7 Rh 0.235 0.994 0.375
8 Rh 0.265 0.006 0.875
9 Rh 0.265 0.494 0.875
10 Rh 0.415 0.750 0.130
11 Rh 0.585 0.250 0.870
12 Rh 0.735 0.506 0.125
13 Rh 0.735 0.994 0.125
14 Rh 0.765 0.006 0.625
15 Rh 0.765 0.494 0.625
16 Rh 0.915 0.750 0.370


Density functional theory data (GGA-PBEsol) for a relaxed Ba3SnS5 crystal.

Properties
The calculation puts the density of states at the Fermi level at 0.00 states/eV/atom. The value obtained for the magnetization is 0.00 Bohr magnetons per cell. The calculation puts the formation energy without anion corrections at -14.0 eV per formula unit. As for the space group: I4/mcm.

Cell: 9.296 9.296 9.296 Å, 126.61 126.61 78.89°
Positions (direct):
1 Ba 0.160 0.660 0.820
2 Ba 0.250 0.250 0.000
3 Ba 0.340 0.160 0.500
4 Ba 0.660 0.840 0.500
5 Ba 0.750 0.750 0.000
6 Ba 0.840 0.340 0.180
7 Sn 0.250 0.750 0.500
8 Sn 0.750 0.250 0.500
9 S 0.000 0.000 0.000
10 S 0.009 0.198 0.500
11 S 0.198 0.698 0.189
12 S 0.302 0.491 0.500
13 S 0.491 0.991 0.189
14 S 0.500 0.500 0.000
15 S 0.509 0.009 0.811
16 S 0.698 0.509 0.500
17 S 0.802 0.302 0.811
18 S 0.991 0.802 0.500


Density functional theory data (GGA-PBEsol) for a relaxed Ba2PrTaO6 crystal.

Properties
The calculation puts the density of states at the Fermi level at 0.00 states/eV/atom. The value obtained for the magnetization is 0.00 Bohr magnetons per cell. The calculation puts the formation energy without anion corrections at -30.7 eV per formula unit. As for the space group: Fm-3m.

Cell: 6.104 6.104 6.104 Å, 60.00 60.00 60.00°
Positions (direct):
1 Ba 0.250 0.250 0.250
2 Ba 0.750 0.750 0.750
3 Pr 0.000 0.000 0.000
4 Ta 0.500 0.500 0.500
5 O 0.269 0.269 0.731
6 O 0.269 0.731 0.269
7 O 0.269 0.731 0.731
8 O 0.731 0.269 0.269
9 O 0.731 0.269 0.731
10 O 0.731 0.731 0.269


Density functional theory data (GGA-PBEsol) for a relaxed Co2Pt crystal.

Properties
The calculation puts the density of states at the Fermi level at 0.80 states/eV/atom. The value obtained for the magnetization is 7.73 Bohr magnetons per cell. The value obtained for the formation energy is -0.043 eV/atom. As for the space group: C2/m.

Cell: 4.800 4.800 6.253 Å, 106.78 106.78 31.80°
Positions (direct):
1 Co 0.034 0.034 0.269
2 Co 0.360 0.360 0.975
3 Co 0.640 0.640 0.025
4 Co 0.966 0.966 0.731
5 Pt 0.323 0.323 0.366
6 Pt 0.677 0.677 0.634


Density functional theory data (GGA-PBEsol) for a relaxed Mg2TlAg crystal.

Properties
The calculation puts the density of states at the Fermi level at 0.35 states/eV/atom. The value obtained for the magnetization is 0.00 Bohr magnetons per cell. The value obtained for the formation energy is -0.061 eV/atom. As for the space group: R-3m.

Cell: 9.556 9.556 9.556 Å, 19.51 19.51 19.51°
Positions (direct):
1 Mg 0.242 0.242 0.242
2 Mg 0.758 0.758 0.758
3 Tl 0.000 0.000 0.000
4 Ag 0.500 0.500 0.500


Density functional theory data (GGA-PBEsol) for a relaxed TaTl2Rh crystal.

Properties
The calculation puts the density of states at the Fermi level at 0.75 states/eV/atom. The value obtained for the magnetization is 0.00 Bohr magnetons per cell. The value obtained for the formation energy is 0.311 eV/atom. As for the space group: Imm2.

Cell: 6.328 6.328 6.328 Å, 153.18 135.57 52.66°
Positions (direct):
1 Ta 0.000 0.000 0.000
2 Tl 0.278 0.778 0.500
3 Tl 0.571 0.571 0.000
4 Rh 0.810 0.310 0.500


Density functional theory data (GGA-PBEsol) for a relaxed MnAlSbI2 crystal.

Properties
The calculation puts the density of states at the Fermi level at 0.58 states/eV/atom. The value obtained for the magnetization is 4.71 Bohr magnetons per cell. The calculation puts the formation energy without anion corrections at 3.0 eV per formula unit. As for the space group: P4/mmm.

Cell: 5.363 5.363 5.450 Å, 90.00 90.00 90.00°
Positions (direct):
1 Mn 0.000 0.000 0.000
2 Al 0.500 0.500 0.500
3 Sb 0.500 0.500 0.000
4 I 0.000 0.500 0.500
5 I 0.500 0.000 0.500